NbHgSb2I | PBE-GGA | relaxed

Values from the calculation:
- Fermi-level density of states: 0.7135 states/eV per atom
- M_tot: 0.000 μB/atom
- Volume: 33.52 Å³/atom
- Formation energy without anion corrections: 0.243 eV/atom

The structure in CIF format:
```
data_NbHgSb2I
_chemical_formula_sum 'Nb1 Hg1 Sb2 I1'
_symmetry_space_group_name_H-M 'P 4/m m m'
_symmetry_Int_Tables_number 123
_symmetry_space_group_name_Hall '-P 4 2'
_cell_length_a 5.3718
_cell_length_b 5.3718
_cell_length_c 5.8075
_cell_angle_alpha 90.00
_cell_angle_beta 90.00
_cell_angle_gamma 90.00
loop_
_atom_site_label
_atom_site_type_symbol
_atom_site_fract_x
_atom_site_fract_y
_atom_site_fract_z
Nb1 Nb 0.0000 0.0000 0.0000
Hg1 Hg 0.5000 0.5000 0.5000
Sb1 Sb 0.0000 0.5000 0.0000
I1 I 0.0000 0.0000 0.5000
```